(1)
## MgMnSeS (GGA-PBE)

Data for crystalline MgMnSeS at its relaxed geometry.

Cell and atoms, written as extended XYZ:
```
4
Lattice="4.405 0.000 0.000 -2.202 3.814 0.000 0.000 0.000 5.488" Properties=species:S:1:pos:R:3 pbc="T T T"
Mg 0.000 0.000 0.000
Mn 0.000 2.543 2.744
Se 0.000 0.000 2.744
S 0.000 2.543 0.000
```

Values from the calculation:
The total magnetization comes out at 5.01 μB per cell. The value obtained for the formation energy (no corrections) is -0.836 eV per atom. For the volume, the calculation gives 23.045 Å³/atom. As for the symmetry: P-6m2, No. 187. As for the total energy: -5.430 eV per atom.

---

(2)
## FeNiAsSe (GGA-PBE)

Data for crystalline FeNiAsSe at its relaxed geometry.

Cell and atoms, written as extended XYZ:
```
4
Lattice="3.746 -1.588 0.000 3.746 1.588 0.000 -1.733 0.000 5.202" Properties=species:S:1:pos:R:3 pbc="T T T"
Fe 0.000 0.000 0.000
Ni 6.626 0.000 2.595
As 4.450 0.000 1.659
Se 0.440 0.000 4.492
```

Values from the calculation:
The total magnetization comes out at 0.78 μB per cell. The value obtained for the formation energy (no corrections) is -0.080 eV per atom. For the volume, the calculation gives 15.474 Å³/atom. As for the symmetry: Cm, No. 8. As for the total energy: -5.674 eV per atom.

---

(3)
## Lu2ZnCu (GGA-PBE)

Data for crystalline Lu2ZnCu at its relaxed geometry.

Cell and atoms, written as extended XYZ:
```
4
Lattice="1.741 1.005 9.813 -1.741 1.005 9.813 0.000 -2.011 9.813" Properties=species:S:1:pos:R:3 pbc="T T T"
Lu 0.000 0.000 2.983
Lu 0.000 0.000 26.456
Zn 0.000 0.000 0.000
Cu 0.000 0.000 14.720
```

Values from the calculation:
The total magnetization comes out at 0.00 μB per cell. For the volume, the calculation gives 25.770 Å³/atom. As for the symmetry: R-3m, No. 166. As for the total energy: -3.320 eV per atom.

---

(4)
## KLaSb2 (GGA-PBE)

Data for crystalline KLaSb2 at its relaxed geometry.

Cell and atoms, written as extended XYZ:
```
4
Lattice="4.793 -2.298 0.000 4.793 2.298 0.000 -2.353 0.000 7.217" Properties=species:S:1:pos:R:3 pbc="T T T"
K 0.000 0.000 0.000
La 3.617 0.000 3.609
Sb 0.693 0.000 4.948
Sb 6.540 0.000 2.269
```

Values from the calculation:
The total magnetization comes out at 0.00 μB per cell. The value obtained for the formation energy (no corrections) is -0.545 eV per atom. For the volume, the calculation gives 39.747 Å³/atom. As for the symmetry: C2/m, No. 12. As for the total energy: -4.113 eV per atom.

---

Question: Look up the total energy of the first one.
Answer: -5.430 eV per atom

---

Question: What is the formula in the second record?
Answer: FeNiAsSe

---

Question: What is the formula in the fourth record?
Answer: KLaSb2

---

Question: Which of these has the highest total energy?
Answer: Lu2ZnCu